Entry 1:
GGA-PBE FeGeAu2, relaxed; excess energy over the best structure of this formula in the dataset = 0.056 eV per atom; crystal system = tetragonal; energy relative to the elements = 28.1 kJ/mol of atoms
1.0
3.835 0.000 0.000
0.000 3.835 0.000
1.917 1.917 9.640
Fe Ge Au
2 2 4
Cartesian
1.917 1.917 0.000
1.917 3.835 4.820
0.000 0.000 0.000
3.835 1.917 4.820
2.867 0.959 2.410
2.876 2.886 7.230
4.794 4.784 7.230
0.968 2.876 2.410

Entry 2:
GGA-PBE FeGeAu2, relaxed; excess energy over the best structure of this formula in the dataset = 0.136 eV per atom; crystal system = trigonal; energy relative to the elements = 35.9 kJ/mol of atoms
1.0
-2.410 -0.507 -1.391
-1.697 -2.105 0.831
-6.345 5.612 6.072
Au Ge Fe
2 1 1
Cartesian
-5.349 -0.993 1.002
-5.103 3.994 4.509
-5.226 1.500 2.756
0.000 0.000 0.000

Entry 3:
GGA-PBE FeGeAu2, relaxed; excess energy over the best structure of this formula in the dataset = 0.000 eV per atom; crystal system = cubic; energy relative to the elements = 22.8 kJ/mol of atoms
1.0
0.000 3.235 3.235
3.235 0.000 3.235
3.235 3.235 0.000
Ge Au Fe
1 2 1
Cartesian
3.235 3.235 3.235
1.617 1.617 1.617
4.852 4.852 4.852
0.000 0.000 0.000

Summary of theoretical density in g/cm³
12.238 12.167 12.814
(order as listed above)